Record 1
The following is a PBE calculation of crystalline NaAcPbS3 at its relaxed geometry, from Alexandria.

Output
As for the density of states at the Fermi level: 0.0000 states/eV per atom. The value obtained for the uncorrected formation energy is -1.3061 eV/atom. Its volume is 30.02 A^3/atom. For the uncorrected energy, the calculation gives -4.89 eV per atom.

POSCAR file:
```
NaAcPbS3
1.0
8.8511 0.0000 0.0000
0.0000 4.1316 0.0000
-1.0673 0.0000 9.8523
Na Ac Pb S
2 2 2 6
Cartesian
1.1486 1.0329 0.8435
6.6352 3.0987 9.0088
0.6047 1.0329 6.8584
7.1791 3.0987 2.9939
2.7278 3.0987 3.5437
5.0560 1.0329 6.3086
0.5994 1.0329 3.7403
0.5894 3.0987 8.9723
2.8116 3.0987 6.1935
4.9722 1.0329 3.6587
7.1945 1.0329 0.8799
7.1844 3.0987 6.1120
```

---

Record 2
The following is a PBE calculation of crystalline SrHg3Pd2 at its relaxed geometry, from Alexandria.

Output
As for the density of states at the Fermi level: 0.5135 states/eV per atom. Its volume is 22.86 A^3/atom. The calculation puts the energy relative to the elements at -258 meV/atom. For the uncorrected energy, the calculation gives -2.42 eV per atom. The value obtained for the offset from the most stable computed form is 0.121 eV/atom.

POSCAR file:
```
SrHg3Pd2
1.0
3.3177 1.9155 7.1950
-3.3177 1.9155 7.1950
0.0000 -3.8309 7.1950
Sr Hg Pd
2 6 4
Cartesian
0.0000 0.0000 4.8221
0.0000 0.0000 16.7627
-1.6082 -0.9285 12.2663
0.0000 -1.8570 9.3186
-1.6082 0.9285 9.3186
1.6082 -0.9285 12.2663
0.0000 1.8570 12.2663
1.6082 0.9285 9.3186
0.0000 0.0000 0.0000
-1.6588 -0.9577 7.1950
-1.6588 0.9577 14.3899
0.0000 1.9155 7.1950
```

---

Record 3
The following is a PBE calculation of crystalline TmThFeOs at its relaxed geometry, from Alexandria.

Output
As for the density of states at the Fermi level: 0.9922 states/eV per atom. Its volume is 20.47 A^3/atom. The calculation puts the energy relative to the elements at -108 meV/atom. For the uncorrected energy, the calculation gives -8.00 eV per atom.

POSCAR file:
```
TmThFeOs
1.0
0.0000 3.4463 3.4463
3.4463 0.0000 3.4463
3.4463 3.4463 0.0000
Tm Th Fe Os
1 1 1 1
Cartesian
0.0000 0.0000 0.0000
3.4463 3.4463 3.4463
1.7232 1.7232 1.7232
5.1695 5.1695 5.1695
```

---

Record 4
The following is a PBE calculation of crystalline Zr2CdHg3 at its relaxed geometry, from Alexandria.

Output
As for the density of states at the Fermi level: 0.8072 states/eV per atom. Its volume is 21.84 A^3/atom. The calculation puts the energy relative to the elements at -109 meV/atom. For the uncorrected energy, the calculation gives -3.26 eV per atom. The value obtained for the offset from the most stable computed form is 0.000 eV/atom.

POSCAR file:
```
Zr2CdHg3
1.0
2.2014 -6.9011 0.0000
2.2014 6.9011 0.0000
0.0000 0.0000 4.3132
Zr Cd Hg
2 1 3
Cartesian
2.2014 4.6069 0.0000
2.2014 -4.6069 0.0000
2.2014 0.0000 0.0000
0.0000 0.0000 2.1566
2.2014 2.3466 2.1566
2.2014 -2.3466 2.1566
```

---

no.,size of the total moment (μB/atom)
1,0.000
2,0.000
3,0.361
4,0.146